Density functional theory data (PBE) for crystalline AcAgP at its relaxed geometry.

Unit cell a=4.2159 b=4.2159 c=5.4286 alpha=112.85 beta=112.85 gamma=90.00
Closest atoms and distances in Å follow each position.
Atoms (fractional coordinates):
Ac (0.9365, 0.9365, 0.8729)  5 Ag 3.04-3.33, 4 P 3.19
P (0.3126, 0.3126, 0.6252)  1 Ag 2.62
Ag (0.6009, 0.6009, 0.2018)  1 P 2.62

Calculated values
crystal system	tetragonal
space-group type	I4mm
total DFT energy (no corrections)	-4.5449	eV per atom


Density functional theory data (PBE) for crystalline AcAgP at its relaxed geometry.

Unit cell a=4.3807 b=4.4137 c=4.4137 alpha=120.00 beta=90.00 gamma=90.00
Closest atoms and distances in Å follow each position.
Atoms (fractional coordinates):
P (0.1667, 0.0000, 0.0000)  3 Ag 2.55
Ac (0.6668, 0.6667, 0.3333)  6 Ag 3.36, 6 P 3.36
Ag (0.1665, 0.3333, 0.6667)  3 P 2.55

Calculated values
crystal system	hexagonal
space-group type	P-6m2
total DFT energy (no corrections)	-4.8747	eV per atom


Density functional theory data (PBE) for crystalline AcAg2P at its relaxed geometry.

Unit cell a=5.3695 b=4.2986 c=4.2986 alpha=90.00 beta=90.00 gamma=90.00
Closest atoms and distances in Å follow each position.
Atoms (fractional coordinates):
Ac (0.5000, 0.0000, 0.0000)  4 P 3.04
P (0.5000, 0.5000, 0.5000)  4 Ac 3.04
Ag (0.0000, 0.0000, 0.5000)  4 Ag 3.04
Ag (0.0000, 0.5000, 0.0000)  4 Ag 3.04

Calculated values
crystal system	tetragonal
space-group type	P4/mmm
total DFT energy (no corrections)	-4.1180	eV per atom


Density functional theory data (PBE) for crystalline Ac3AgP2Pd9 at its relaxed geometry.

Unit cell a=6.1164 b=6.1164 c=10.0634 alpha=90.00 beta=90.00 gamma=120.00
Closest atoms and distances in Å follow each position.
Atoms (fractional coordinates):
Pd (0.1579, 0.3157, 0.2883)  1 P 2.29
Pd (0.8421, 0.1579, 0.7117)  1 P 2.29
P (0.6667, 0.3333, 0.8451)  6 Pd 2.29-2.36
Pd (0.0000, 0.5000, 0.0000)  2 P 2.36
Pd (0.6843, 0.8421, 0.2883)  1 P 2.29
P (0.3333, 0.6667, 0.1549)  6 Pd 2.29-2.36
Ag (0.0000, 0.0000, 0.5000)  6 Pd 2.71
Pd (0.8421, 0.6843, 0.7117)  1 P 2.29
Pd (0.5000, 0.0000, 0.0000)  2 P 2.36
Ac (0.0000, 0.0000, 0.0000)  12 Pd 3.06-3.35
Ac (0.6667, 0.3333, 0.3579)  6 Pd 3.14
Pd (0.3157, 0.1579, 0.7117)  1 P 2.29
Pd (0.5000, 0.5000, 0.0000)  2 P 2.36
Pd (0.1579, 0.8421, 0.2883)  1 P 2.29
Ac (0.3333, 0.6667, 0.6421)  6 Pd 3.14

Calculated values
crystal system	trigonal
space-group type	P-3m1
total DFT energy (no corrections)	-5.5260	eV per atom


Density functional theory data (PBE) for crystalline AcAgP2Pd5 at its relaxed geometry.

Unit cell a=4.6168 b=4.6168 c=8.2937 alpha=90.00 beta=90.00 gamma=90.00
Closest atoms and distances in Å follow each position.
Atoms (fractional coordinates):
P (0.5000, 0.5000, 0.2197)  5 Pd 2.32-2.33
Ag (0.0000, 0.0000, 0.0000)  8 Pd 2.77
Pd (0.5000, 0.0000, 0.8144)  2 P 2.33
P (0.5000, 0.5000, 0.7803)  5 Pd 2.32-2.33
Pd (0.0000, 0.5000, 0.8144)  2 P 2.33
Pd (0.0000, 0.5000, 0.1856)  2 P 2.33
Pd (0.5000, 0.0000, 0.1856)  2 P 2.33
Ac (0.0000, 0.0000, 0.5000)  12 Pd 3.26-3.48
Pd (0.5000, 0.5000, 0.5000)  2 P 2.32

Calculated values
crystal system	tetragonal
space-group type	P4/mmm
total DFT energy (no corrections)	-5.3335	eV per atom


Density functional theory data (PBE) for crystalline Ac2AgP3Pd12 at its relaxed geometry.

Unit cell a=7.4498 b=7.4498 c=7.4498 alpha=71.25 beta=71.25 gamma=71.25
Closest atoms and distances in Å follow each position.
Atoms (fractional coordinates):
Pd (0.1431, 0.1431, 0.6216)  1 P 2.25
Pd (0.6216, 0.1431, 0.1431)  1 P 2.25
Ac (0.3903, 0.3903, 0.3903)  3 Pd 2.80
Pd (0.7064, 0.1232, 0.7064)  2 P 2.33
P (0.5000, 0.0000, 0.0000)  6 Pd 2.25-2.33
Pd (0.7064, 0.7064, 0.1232)  2 P 2.33
Ag (0.0000, 0.0000, 0.0000)  6 Pd 2.66
Pd (0.3784, 0.8569, 0.8569)  1 P 2.25
Pd (0.8569, 0.3784, 0.8569)  1 P 2.25
Pd (0.8768, 0.2936, 0.2936)  2 P 2.33
P (0.0000, 0.0000, 0.5000)  6 Pd 2.25-2.33
Pd (0.2936, 0.8768, 0.2936)  2 P 2.33
Pd (0.2936, 0.2936, 0.8768)  2 P 2.33
Ac (0.6097, 0.6097, 0.6097)  3 Pd 2.80
Pd (0.8569, 0.8569, 0.3784)  1 P 2.25
P (0.0000, 0.5000, 0.0000)  6 Pd 2.25-2.33
Pd (0.1232, 0.7064, 0.7064)  2 P 2.33
Pd (0.1431, 0.6216, 0.1431)  1 P 2.25

Calculated values
crystal system	trigonal
space-group type	R-3m
total DFT energy (no corrections)	-5.3661	eV per atom